# 1
Compound: Al2Ag
Source: Alexandria
Functional: PBE-GGA
Structure: relaxed

As for the space group: P2_1/m (11). For the energy relative to the elements, the calculation gives -0.007 eV/atom. The value obtained for the magnetization is 0.000 μB/f.u. For the calculated volume, the calculation gives 204 Å³ per cell. The crystal system is monoclinic.

POSCAR file:
```
Al2Ag
1.0
8.240 0.000 0.000
0.000 2.893 0.000
-0.428 0.000 8.545
Al Ag
8 4
direct
0.117 0.250 0.094 Al
0.370 0.750 0.930 Al
0.371 0.750 0.257 Al
0.374 0.750 0.593 Al
0.626 0.250 0.407 Al
0.629 0.250 0.743 Al
0.630 0.250 0.070 Al
0.883 0.750 0.906 Al
0.133 0.250 0.765 Ag
0.135 0.250 0.422 Ag
0.865 0.750 0.578 Ag
0.867 0.750 0.235 Ag
```

=====

# 2
Compound: ZrGeW3
Source: Alexandria
Functional: PBE-GGA
Structure: relaxed

As for the offset from the most stable computed form: 1389 meV per atom. As for the space group: Pm-3m (221). For the energy relative to the elements, the calculation gives 2.627 eV/atom. The value obtained for the magnetization is 0.000 μB/f.u. For the calculated volume, the calculation gives 114 Å³ per cell. The crystal system is cubic.

POSCAR file:
```
ZrGeW3
1.0
4.843 0.000 0.000
0.000 4.843 0.000
0.000 0.000 4.843
Zr Ge W
1 1 3
direct
0.000 0.000 0.000 Zr
0.500 0.500 0.500 Ge
0.000 0.000 0.500 W
0.000 0.500 0.000 W
0.500 0.000 0.000 W
```

=====

# 3
Compound: BeNbSbPIr
Source: Alexandria
Functional: PBE-GGA
Structure: relaxed

The uncorrected formation energy comes out at -175 meV/atom. As for the offset from the most stable computed form: 218 meV per atom. As for the space group: Cm (8). The value obtained for the magnetization is 0.000 μB/f.u. For the calculated volume, the calculation gives 81 Å³ per cell. The crystal system is monoclinic.

POSCAR file:
```
BeNbSbPIr
1.0
3.117 -1.813 0.000
3.117 1.813 0.000
-2.113 0.000 7.154
Be Nb Sb P Ir
1 1 1 1 1
direct
0.000 0.000 0.000 Be
0.847 0.847 0.540 Nb
0.273 0.273 0.814 Sb
0.109 0.109 0.328 P
0.712 0.712 0.142 Ir
```

=====

# 4
Compound: AlHgN2
Source: Alexandria
Functional: PBE-GGA
Structure: relaxed

The uncorrected formation energy comes out at 1417 meV/atom. As for the offset from the most stable computed form: 1261 meV per atom. As for the space group: Fm-3m (225). The value obtained for the magnetization is 0.000 μB/f.u. For the calculated volume, the calculation gives 47 Å³ per cell. The crystal system is cubic.

POSCAR file:
```
AlHgN2
1.0
0.000 2.862 2.862
2.862 0.000 2.862
2.862 2.862 0.000
Al Hg N
1 1 2
direct
0.000 0.000 0.000 Al
0.500 0.500 0.500 Hg
0.250 0.250 0.250 N
0.750 0.750 0.750 N
```